A relaxed structure of Mn7P8O28. Source: the Alexandria database, functional GGA+U. Values from VASP.

## Properties
N(E_F) (states/eV/f.u.): 3.3
E (eV/atom): -7.551
Space group: C222_1, No. 20

Geometry as Quantum ESPRESSO input:
```
&SYSTEM
  ibrav = 0, nat = 86, ntyp = 3
/
ATOMIC_SPECIES
O 16.00 O.upf
Mn 54.94 Mn.upf
P 30.97 P.upf
CELL_PARAMETERS angstrom
-0.7433 -1.0984 -6.4815
3.6208 -5.3550 1.4083
-20.0947 -12.4270 4.4105
ATOMIC_POSITIONS crystal
O 0.0171 0.0312 0.0978
O 0.0312 0.0171 0.9022
O 0.6111 0.3079 0.5393
O 0.6099 0.8929 0.4762
O 0.9688 0.9829 0.4022
O 0.2517 0.9657 0.4968
O 0.3285 0.9104 0.3723
O 0.3901 0.1071 0.9762
O 0.9715 0.5685 0.3832
O 0.0343 0.7483 0.0032
O 0.6989 0.9596 0.2723
O 0.4960 0.7429 0.1985
O 0.9104 0.3285 0.6277
O 0.7250 0.7369 0.9059
O 0.2571 0.5040 0.3015
O 0.6077 0.3053 0.0543
O 0.1270 0.1211 0.6860
O 0.3981 0.3730 0.8721
O 0.7040 0.2801 0.3462
O 0.5040 0.2571 0.6985
O 0.3011 0.0404 0.7723
O 0.6947 0.3923 0.4457
O 0.6271 0.6019 0.6279
O 0.2631 0.2750 0.5941
O 0.1211 0.1270 0.3140
O 0.5685 0.9715 0.6168
O 0.6921 0.3889 0.9607
O 0.5955 0.7639 0.7435
O 0.6715 0.0896 0.8723
O 0.2750 0.2631 0.4059
O 0.8730 0.8789 0.1860
O 0.0404 0.3011 0.2277
O 0.7369 0.7250 0.0941
O 0.8789 0.8730 0.8140
O 0.9657 0.2517 0.5032
O 0.9829 0.9688 0.5978
O 0.9596 0.6989 0.7277
O 0.6019 0.6270 0.3721
O 0.7639 0.5955 0.2565
O 0.3730 0.3981 0.1279
O 0.7429 0.4960 0.8015
O 0.3889 0.6921 0.0393
O 0.0896 0.6715 0.1277
O 0.3079 0.6111 0.4607
O 0.2960 0.7199 0.8462
O 0.7483 0.0343 0.9968
O 0.8929 0.6099 0.5238
O 0.2801 0.7040 0.6538
O 0.7199 0.2960 0.1538
O 0.2361 0.4045 0.7565
O 0.0285 0.4315 0.8832
O 0.4315 0.0285 0.1168
O 0.3053 0.6077 0.9457
O 0.1071 0.3901 0.0238
O 0.4045 0.2361 0.2435
O 0.3923 0.6947 0.5543
Mn 0.6990 0.6990 0.0000
Mn 0.5739 0.2771 0.6215
Mn 0.3298 0.0440 0.8631
Mn 0.2827 0.7173 0.7500
Mn 0.9560 0.6702 0.6369
Mn 0.0440 0.3298 0.1369
Mn 0.0801 0.0801 0.0000
Mn 0.6702 0.9560 0.3631
Mn 0.7173 0.2827 0.2500
Mn 0.4261 0.7229 0.1215
Mn 0.3010 0.3010 0.5000
Mn 0.7229 0.4261 0.8785
Mn 0.2771 0.5739 0.3785
Mn 0.9199 0.9199 0.5000
P 0.7522 0.4702 0.3826
P 0.2478 0.5298 0.8826
P 0.6029 0.1952 0.9945
P 0.3001 0.2164 0.7303
P 0.2164 0.3001 0.2697
P 0.4702 0.7522 0.6174
P 0.7836 0.6999 0.7697
P 0.8048 0.3971 0.5055
P 0.6999 0.7836 0.2303
P 0.1952 0.6029 0.0055
P 0.3971 0.8048 0.4945
P 0.9333 0.8243 0.1234
P 0.8243 0.9333 0.8766
P 0.1757 0.0667 0.3766
P 0.5298 0.2478 0.1174
P 0.0667 0.1757 0.6234
```